Run i
## TiHPd2Rh (PBE)

Data for a relaxed TiHPd2Rh crystal.

CIF file:
```
data_TiHPd2Rh
_chemical_formula_sum 'Ti1 H1 Pd2 Rh1'
_cell_length_a 3.906
_cell_length_b 3.906
_cell_length_c 4.067
_cell_angle_alpha 90.00
_cell_angle_beta 90.00
_cell_angle_gamma 90.00
_space_group_name_H-M_alt 'P 1'
_space_group_IT_number 1
loop_
_space_group_symop_operation_xyz
'x,y,z'
loop_
_atom_site_label
_atom_site_type_symbol
_atom_site_fract_x
_atom_site_fract_y
_atom_site_fract_z
_atom_site_occupancy
Ti1 Ti 0.000 0.000 0.000 1
H1 H 0.500 0.500 0.500 1
Pd1 Pd 0.000 0.500 0.500 1
Pd2 Pd 0.500 0.000 0.500 1
Rh1 Rh 0.500 0.500 0.000 1
```

Computed properties:
DOS(E_F): 0.18 states/eV/atom

=====

Run ii
## TiHPd2Rh (PBE)

Data for a relaxed TiHPd2Rh crystal.

CIF file:
```
data_TiHPd2Rh
_chemical_formula_sum 'Ti1 H1 Pd2 Rh1'
_cell_length_a 3.849
_cell_length_b 3.849
_cell_length_c 4.194
_cell_angle_alpha 90.00
_cell_angle_beta 90.00
_cell_angle_gamma 90.00
_space_group_name_H-M_alt 'P 1'
_space_group_IT_number 1
loop_
_space_group_symop_operation_xyz
'x,y,z'
loop_
_atom_site_label
_atom_site_type_symbol
_atom_site_fract_x
_atom_site_fract_y
_atom_site_fract_z
_atom_site_occupancy
Ti1 Ti 0.000 0.000 0.000 1
H1 H 0.000 0.000 0.500 1
Pd1 Pd 0.000 0.500 0.500 1
Pd2 Pd 0.500 0.000 0.500 1
Rh1 Rh 0.500 0.500 0.000 1
```

Computed properties:
DOS(E_F): 0.32 states/eV/atom

=====

Order from most stable to least stable according to the calculation: run i, run ii

=====

Run i
## VHPd2Rh (PBE)

Data for a relaxed VHPd2Rh crystal.

CIF file:
```
data_VHPd2Rh
_chemical_formula_sum 'V1 H1 Pd2 Rh1'
_cell_length_a 3.856
_cell_length_b 3.856
_cell_length_c 4.090
_cell_angle_alpha 90.00
_cell_angle_beta 90.00
_cell_angle_gamma 90.00
_space_group_name_H-M_alt 'P 1'
_space_group_IT_number 1
loop_
_space_group_symop_operation_xyz
'x,y,z'
loop_
_atom_site_label
_atom_site_type_symbol
_atom_site_fract_x
_atom_site_fract_y
_atom_site_fract_z
_atom_site_occupancy
V1 V 0.000 0.000 0.000 1
H1 H 0.000 0.000 0.500 1
Pd1 Pd 0.000 0.500 0.500 1
Pd2 Pd 0.500 0.000 0.500 1
Rh1 Rh 0.500 0.500 0.000 1
```

Computed properties:
DOS(E_F): 0.67 states/eV/atom

=====

Run ii
## VHPd2Rh (PBE)

Data for a relaxed VHPd2Rh crystal.

CIF file:
```
data_VHPd2Rh
_chemical_formula_sum 'V1 H1 Pd2 Rh1'
_cell_length_a 3.908
_cell_length_b 3.908
_cell_length_c 4.003
_cell_angle_alpha 90.00
_cell_angle_beta 90.00
_cell_angle_gamma 90.00
_space_group_name_H-M_alt 'P 1'
_space_group_IT_number 1
loop_
_space_group_symop_operation_xyz
'x,y,z'
loop_
_atom_site_label
_atom_site_type_symbol
_atom_site_fract_x
_atom_site_fract_y
_atom_site_fract_z
_atom_site_occupancy
V1 V 0.000 0.000 0.000 1
H1 H 0.500 0.500 0.500 1
Pd1 Pd 0.000 0.500 0.500 1
Pd2 Pd 0.500 0.000 0.500 1
Rh1 Rh 0.500 0.500 0.000 1
```

Computed properties:
DOS(E_F): 0.92 states/eV/atom

=====

Run iii
## VHPd2Rh (PBE)

Data for a relaxed VHPd2Rh crystal.

CIF file:
```
data_VHPd2Rh
_chemical_formula_sum 'V1 H1 Pd2 Rh1'
_cell_length_a 4.643
_cell_length_b 4.643
_cell_length_c 4.414
_cell_angle_alpha 90.00
_cell_angle_beta 90.00
_cell_angle_gamma 90.00
_space_group_name_H-M_alt 'P 1'
_space_group_IT_number 1
loop_
_space_group_symop_operation_xyz
'x,y,z'
loop_
_atom_site_label
_atom_site_type_symbol
_atom_site_fract_x
_atom_site_fract_y
_atom_site_fract_z
_atom_site_occupancy
V1 V 0.000 0.000 0.000 1
H1 H 0.500 0.500 0.500 1
Pd1 Pd 0.000 0.500 0.000 1
Pd2 Pd 0.500 0.000 0.000 1
Rh1 Rh 0.000 0.000 0.500 1
```

Computed properties:
DOS(E_F): 0.63 states/eV/atom

=====

Order from most stable to least stable according to the calculation: run ii, run i, run iii

=====

Run i
## ZrHPdRh2 (PBE)

Data for a relaxed ZrHPdRh2 crystal.

CIF file:
```
data_ZrHPdRh2
_chemical_formula_sum 'Zr1 H1 Pd1 Rh2'
_cell_length_a 3.975
_cell_length_b 3.975
_cell_length_c 4.169
_cell_angle_alpha 90.00
_cell_angle_beta 90.00
_cell_angle_gamma 90.00
_space_group_name_H-M_alt 'P 1'
_space_group_IT_number 1
loop_
_space_group_symop_operation_xyz
'x,y,z'
loop_
_atom_site_label
_atom_site_type_symbol
_atom_site_fract_x
_atom_site_fract_y
_atom_site_fract_z
_atom_site_occupancy
Zr1 Zr 0.000 0.000 0.000 1
H1 H 0.000 0.000 0.500 1
Pd1 Pd 0.500 0.500 0.000 1
Rh1 Rh 0.000 0.500 0.500 1
Rh2 Rh 0.500 0.000 0.500 1
```

Computed properties:
DOS(E_F): 0.74 states/eV/atom

=====

Run ii
## ZrHPdRh2 (PBE)

Data for a relaxed ZrHPdRh2 crystal.

CIF file:
```
data_ZrHPdRh2
_chemical_formula_sum 'Zr1 H1 Pd1 Rh2'
_cell_length_a 4.060
_cell_length_b 4.060
_cell_length_c 3.976
_cell_angle_alpha 90.00
_cell_angle_beta 90.00
_cell_angle_gamma 90.00
_space_group_name_H-M_alt 'P 1'
_space_group_IT_number 1
loop_
_space_group_symop_operation_xyz
'x,y,z'
loop_
_atom_site_label
_atom_site_type_symbol
_atom_site_fract_x
_atom_site_fract_y
_atom_site_fract_z
_atom_site_occupancy
Zr1 Zr 0.000 0.000 0.000 1
H1 H 0.500 0.500 0.500 1
Pd1 Pd 0.500 0.500 0.000 1
Rh1 Rh 0.000 0.500 0.500 1
Rh2 Rh 0.500 0.000 0.500 1
```

Computed properties:
DOS(E_F): 0.75 states/eV/atom

=====

Order from most stable to least stable according to the calculation: run ii, run i

=====

Run i
## H2PdRu (PBE)

Data for a relaxed H2PdRu crystal.

CIF file:
```
data_H2PdRu
_chemical_formula_sum 'H6 Pd3 Ru3'
_cell_length_a 2.859
_cell_length_b 2.859
_cell_length_c 15.549
_cell_angle_alpha 90.00
_cell_angle_beta 90.00
_cell_angle_gamma 120.00
_space_group_name_H-M_alt 'P 1'
_space_group_IT_number 1
loop_
_space_group_symop_operation_xyz
'x,y,z'
loop_
_atom_site_label
_atom_site_type_symbol
_atom_site_fract_x
_atom_site_fract_y
_atom_site_fract_z
_atom_site_occupancy
H1 H 0.000 0.000 0.113 1
H2 H 0.000 0.000 0.887 1
H3 H 0.333 0.667 0.553 1
H4 H 0.333 0.667 0.780 1
H5 H 0.667 0.333 0.220 1
H6 H 0.667 0.333 0.447 1
Pd1 Pd 0.000 0.000 0.000 1
Pd2 Pd 0.333 0.667 0.667 1
Pd3 Pd 0.667 0.333 0.333 1
Ru1 Ru 0.000 0.000 0.500 1
Ru2 Ru 0.333 0.667 0.167 1
Ru3 Ru 0.667 0.333 0.833 1
```

Computed properties:
DOS(E_F): 1.06 states/eV/atom

=====

Run ii
## H2PdRu (PBE)

Data for a relaxed H2PdRu crystal.

CIF file:
```
data_H2PdRu
_chemical_formula_sum 'H8 Pd4 Ru4'
_cell_length_a 5.272
_cell_length_b 5.272
_cell_length_c 5.272
_cell_angle_alpha 90.00
_cell_angle_beta 90.00
_cell_angle_gamma 90.00
_space_group_name_H-M_alt 'P 1'
_space_group_IT_number 1
loop_
_space_group_symop_operation_xyz
'x,y,z'
loop_
_atom_site_label
_atom_site_type_symbol
_atom_site_fract_x
_atom_site_fract_y
_atom_site_fract_z
_atom_site_occupancy
H1 H 0.250 0.250 0.250 1
H2 H 0.250 0.250 0.750 1
H3 H 0.250 0.750 0.250 1
H4 H 0.250 0.750 0.750 1
H5 H 0.750 0.250 0.250 1
H6 H 0.750 0.250 0.750 1
H7 H 0.750 0.750 0.250 1
H8 H 0.750 0.750 0.750 1
Pd1 Pd 0.000 0.000 0.000 1
Pd2 Pd 0.000 0.500 0.500 1
Pd3 Pd 0.500 0.000 0.500 1
Pd4 Pd 0.500 0.500 0.000 1
Ru1 Ru 0.000 0.000 0.500 1
Ru2 Ru 0.000 0.500 0.000 1
Ru3 Ru 0.500 0.000 0.000 1
Ru4 Ru 0.500 0.500 0.500 1
```

Computed properties:
DOS(E_F): 0.88 states/eV/atom

=====

Run iii
## H2PdRu (PBE)

Data for a relaxed H2PdRu crystal.

CIF file:
```
data_H2PdRu
_chemical_formula_sum 'H6 Pd3 Ru3'
_cell_length_a 2.827
_cell_length_b 2.827
_cell_length_c 15.334
_cell_angle_alpha 90.00
_cell_angle_beta 90.00
_cell_angle_gamma 120.00
_space_group_name_H-M_alt 'P 1'
_space_group_IT_number 1
loop_
_space_group_symop_operation_xyz
'x,y,z'
loop_
_atom_site_label
_atom_site_type_symbol
_atom_site_fract_x
_atom_site_fract_y
_atom_site_fract_z
_atom_site_occupancy
H1 H 0.000 0.000 0.000 1
H2 H 0.000 0.000 0.208 1
H3 H 0.333 0.667 0.667 1
H4 H 0.333 0.667 0.875 1
H5 H 0.667 0.333 0.333 1
H6 H 0.667 0.333 0.542 1
Pd1 Pd 0.000 0.000 0.429 1
Pd2 Pd 0.333 0.667 0.096 1
Pd3 Pd 0.667 0.333 0.762 1
Ru1 Ru 0.000 0.000 0.604 1
Ru2 Ru 0.333 0.667 0.271 1
Ru3 Ru 0.667 0.333 0.938 1
```

Computed properties:
DOS(E_F): 0.89 states/eV/atom

=====

Order from most stable to least stable according to the calculation: run iii, run i, run ii